DFT (GGA-PBE) results for a geometry-optimized NaSn structure.

V = 58.2 Å³/f.u.
E_form = -0.20 eV/f.u.
Crystal system = monoclinic

abc: 3.214 5.661 6.999
angles: 113.85 90.07 90.00
Element x y z (fractional)
Sn  0.000  0.113  0.226
Sn  0.000  0.887  0.774
Na  0.498  0.655  0.310
Na  0.502  0.345  0.690